Record 1
CaSc2Se4, optimized geometry, DFT GGA-PBE; total DFT energy (no corrections) = -5.860 eV/atom
1.0
1.9542 -6.4073 0.0000
1.9542 6.4073 0.0000
0.0000 0.0000 13.4551
Ca Sc Se
2 4 8
direct
0.1121 0.8879 0.7500
0.8879 0.1121 0.2500
0.3656 0.6344 0.5686
0.3656 0.6344 0.9314
0.6344 0.3656 0.0686
0.6344 0.3656 0.4314
0.0000 0.0000 0.0000
0.0000 0.0000 0.5000
0.2715 0.7285 0.1146
0.2715 0.7285 0.3854
0.4459 0.5541 0.7500
0.5541 0.4459 0.2500
0.7285 0.2715 0.6146
0.7285 0.2715 0.8854

---

Record 2
Sm8Er5Th, optimized geometry, DFT GGA-PBE; DFT formation energy = 0.2860 eV/atom
1.0
-4.8138 4.8138 5.0882
4.8138 -4.8138 5.0882
4.8138 4.8138 -5.0882
Sm Er Th
8 5 1
direct
0.1787 0.4057 0.5819
0.3282 0.2235 0.2387
0.4033 0.8213 0.2270
0.5943 0.1763 0.7730
0.7765 0.0152 0.1047
0.8237 0.5967 0.4181
0.9105 0.6718 0.8953
0.9848 0.0895 0.7613
0.0618 0.4701 0.1855
0.1237 0.9382 0.4083
0.2846 0.8763 0.8145
0.5299 0.7154 0.5917
0.7500 0.2500 0.5000
0.5000 0.5000 0.0000

---

Record 3
Sr2BiSb3Pt4, optimized geometry, DFT GGA-PBE; total DFT energy (no corrections) = -5.113 eV/atom
1.0
4.7578 0.0000 0.0000
0.0000 4.7578 0.0000
0.0000 0.0000 10.8092
Sr Bi Sb Pt
2 1 3 4
direct
0.0000 0.5000 0.2344
0.5000 0.0000 0.7656
0.0000 0.0000 0.5000
0.0000 0.5000 0.8772
0.5000 0.0000 0.1228
0.5000 0.5000 0.5000
0.0000 0.0000 0.0000
0.0000 0.5000 0.6349
0.5000 0.0000 0.3651
0.5000 0.5000 0.0000

---

Record 4
Cs2NaTl2Te4, optimized geometry, DFT GGA-PBE; total DFT energy (no corrections) = -2.878 eV/atom
1.0
8.8866 -2.5669 0.0000
8.8866 2.5669 0.0000
-2.6148 0.0000 8.3893
Cs Na Tl Te
2 1 2 4
direct
0.1238 0.1238 0.0548
0.8762 0.8762 0.9452
0.0000 0.0000 0.5000
0.3372 0.3372 0.5061
0.6628 0.6628 0.4939
0.2058 0.2058 0.6790
0.4867 0.4867 0.7441
0.5133 0.5133 0.2559
0.7942 0.7942 0.3210

---

Record 5
NaPPdO4, optimized geometry, DFT GGA-PBE; total DFT energy (no corrections) = -6.079 eV/atom
1.0
2.9583 -4.4292 0.0000
2.9583 4.4292 0.0000
0.0000 0.0000 6.5130
Na P Pd O
2 2 2 8
direct
0.0000 0.0000 0.0000
0.0000 0.0000 0.5000
0.3683 0.6317 0.7500
0.6317 0.3683 0.2500
0.2977 0.7023 0.2500
0.7023 0.2977 0.7500
0.2587 0.3149 0.7500
0.2608 0.7392 0.5609
0.2608 0.7392 0.9391
0.3149 0.2587 0.2500
0.6851 0.7413 0.7500
0.7392 0.2608 0.0609
0.7392 0.2608 0.4391
0.7413 0.6851 0.2500

---

Record 6
NaCrBi2Ru, optimized geometry, DFT GGA-PBE; DFT formation energy = 1.9316 eV/atom
1.0
5.2138 0.0000 0.0000
0.0000 5.2138 0.0000
0.0000 0.0000 4.6383
Na Cr Bi Ru
1 1 2 1
direct
0.0000 0.0000 0.0000
0.5000 0.5000 0.5000
0.0000 0.5000 0.0000
0.5000 0.0000 0.0000
0.0000 0.0000 0.5000

---

Record 7
Er8CoRu2, optimized geometry, DFT GGA-PBE; DFT formation energy = -0.2367 eV/atom
1.0
8.5717 -2.3966 0.0000
8.5717 2.3966 0.0000
-2.0350 0.0000 6.4365
Er Co Ru
8 1 2
direct
0.0300 0.0300 0.2942
0.2047 0.2047 0.8124
0.3341 0.3341 0.5366
0.4048 0.4048 0.0507
0.5952 0.5952 0.9493
0.6659 0.6659 0.4634
0.7953 0.7953 0.1876
0.9700 0.9700 0.7058
0.5000 0.5000 0.5000
0.1840 0.1840 0.1997
0.8160 0.8160 0.8003

---

Record 8
TaBe2Tl, optimized geometry, DFT GGA-PBE; DFT formation energy = 1.0242 eV/atom
1.0
6.3535 0.0000 0.0000
0.0000 6.3535 0.0000
0.0000 0.0000 6.3535
Ta Be Tl
4 8 4
direct
0.0000 0.0000 0.0000
0.0000 0.5000 0.5000
0.5000 0.0000 0.5000
0.5000 0.5000 0.0000
0.0000 0.0000 0.5000
0.0000 0.5000 0.0000
0.2500 0.2500 0.7500
0.2500 0.7500 0.2500
0.5000 0.0000 0.0000
0.5000 0.5000 0.5000
0.7500 0.2500 0.2500
0.7500 0.7500 0.7500
0.2500 0.2500 0.2500
0.2500 0.7500 0.7500
0.7500 0.2500 0.7500
0.7500 0.7500 0.2500